A PBEsol-optimized structure of Be2OsCSe, computed with meta-GGA SCAN.

Lattice parameters (Å, degrees): 4.3512 4.3512 4.4947 90.00 90.00 90.00
Each line ends with the local moment (μB).
Fractional positions:
C  0.5000  0.5000  0.5000  0.97
Be  0.0000  0.5000  0.0000  -0.02
Be  0.5000  0.0000  0.0000  -0.02
Se  0.0000  0.0000  0.5000  -0.01
Os  0.0000  0.0000  0.0000  0.21

Computed properties:
**ΔE_f (raw)**: 1793 meV per atom
**Excess energy over the best structure of this formula in the dataset**: 944 meV per atom
**Total magnetization**: 2.130 μB per formula unit